[1]
This record from Alexandria describes a relaxed structure of YHo2Tm12. The functional is PBE.

The space group is P2/m (No. 10) and the conventional cell measures 3.590, 5.570 and 23.129 Å, with angles of 90.00, 94.44 and 90.00 degrees. The asymmetric unit holds Y at (0.000, 0.000, 0.000), Ho at (0.141, 0.000, 0.285), Tm at (0.095, 0.500, 0.193), Tm at (0.221, 0.500, 0.443), Tm at (0.289, 0.000, 0.575), Tm at (0.340, 0.500, 0.678), Tm at (0.426, 0.000, 0.852) and Tm at (0.470, 0.500, 0.933).

The calculation puts the total energy at -68.2 eV/cell. As for the formation energy: 1.07 eV per formula unit.



[2]
This record from Alexandria describes a relaxed structure of Y12HoTm6. The functional is PBE.

The space group is R-3 (No. 148, hexagonal axes) and the conventional cell measures 11.8053, 11.8053 and 15.2971 Å, with angles of 90.00, 90.00 and 120.00 degrees. The asymmetric unit holds Y at (0.0102, 0.8303, 0.1904), Y at (0.0424, 0.8501, 0.4149), Ho at (0.0000, 0.0000, 0.0000) and Tm at (0.0135, 0.4259, 0.6815).

The calculation puts the total energy at -318.2 eV/cell. As for the formation energy: 2.92 eV per formula unit.



[3]
This record from Alexandria describes a relaxed structure of Y3HoTm2. The functional is PBE.

The space group is C2/c (No. 15) and the conventional cell measures 17.532, 7.142 and 6.180 Å, with angles of 90.00, 103.59 and 90.00 degrees. The asymmetric unit holds Y at (0.000, 0.127, 0.250), Y at (0.168, 0.125, 0.029), Ho at (0.000, 0.377, 0.750) and Tm at (0.167, 0.376, 0.528).

The calculation puts the total energy at -131.6 eV/cell. As for the formation energy: 0.01 eV per formula unit.



[4]
This record from Alexandria describes a relaxed structure of YHo3Tm. The functional is PBE.

The space group is Pnma (No. 62) and the conventional cell measures 9.237, 7.366 and 9.237 Å, with angles of 90.00, 90.00 and 90.00 degrees. The asymmetric unit holds Y at (0.000, 0.000, 0.000), Ho at (0.127, 0.000, 0.373), Ho at (0.171, 0.250, 0.670) and Tm at (0.171, 0.750, 0.671).

The calculation puts the total energy at -97.2 eV/cell. As for the formation energy: 0.38 eV per formula unit.



Q: Look up the total energy of the first one.
A: -68.2 eV/cell



Q: Look up the total energy of the first one.
A: -68.2 eV/cell